Record 1
The following is a PBE calculation of TbPr2Ho4 after structural relaxation, from Alexandria via LeMat-Bulk.

- space-group type = I4/mmm, No. 139
- energy above the most stable polymorph in this dataset (kJ/mol of atoms) = 22.6
- density of states at the Fermi level (states/eV/cell) = 24.31
- energy (Ry per atom) = -0.32258
- magnetic moment (μB per formula unit) = 0.06
- calculated formation energy (meV/atom) = 254

Geometry as POSCAR:
```
TbPr2Ho4
1.0
8.464 0.000 0.000
0.000 8.464 0.000
0.000 0.000 6.559
Tb Pr Ho
2 4 8
Direct
0.000 0.000 0.000
0.500 0.500 0.500
0.000 0.500 0.250
0.000 0.500 0.750
0.500 0.000 0.250
0.500 0.000 0.750
0.198 0.198 0.500
0.198 0.802 0.500
0.302 0.302 0.000
0.302 0.698 0.000
0.698 0.302 0.000
0.698 0.698 0.000
0.802 0.198 0.500
0.802 0.802 0.500
```

Record 2
The following is a PBE calculation of TbPr12Ho6 after structural relaxation, from Alexandria via LeMat-Bulk.

- space-group type = R-3, No. 148
- energy above the most stable polymorph in this dataset (kJ/mol of atoms) = 10.7
- density of states at the Fermi level (states/eV/cell) = 32.05
- energy (Ry per atom) = -0.33663
- magnetic moment (μB per formula unit) = 0.00
- calculated formation energy (meV/atom) = 128

Geometry as POSCAR:
```
TbPr12Ho6
1.0
6.114 3.530 5.136
-6.114 3.530 5.136
0.000 -7.060 5.136
Tb Pr Ho
1 12 6
Direct
0.000 0.000 0.000
0.019 0.364 0.192
0.192 0.019 0.364
0.217 0.567 0.465
0.364 0.192 0.019
0.433 0.535 0.783
0.465 0.217 0.567
0.535 0.783 0.433
0.567 0.465 0.217
0.636 0.808 0.981
0.783 0.433 0.535
0.808 0.981 0.636
0.981 0.636 0.808
0.100 0.259 0.705
0.259 0.705 0.100
0.295 0.900 0.741
0.705 0.100 0.259
0.741 0.295 0.900
0.900 0.741 0.295
```

Record 3
The following is a PBE calculation of Tb7PrHo5 after structural relaxation, from Alexandria via LeMat-Bulk.

- space-group type = Imm2, No. 44
- density of states at the Fermi level (states/eV/cell) = 24.42
- energy (Ry per atom) = -0.32169
- magnetic moment (μB per formula unit) = 0.01
- calculated formation energy (meV/atom) = 245

Geometry as POSCAR:
```
Tb7PrHo5
1.0
-3.333 5.587 5.786
3.333 -5.587 5.786
3.333 5.587 -5.786
Tb Pr Ho
7 1 5
Direct
0.000 0.000 0.000
0.076 0.748 0.329
0.305 0.305 0.000
0.419 0.748 0.671
0.494 0.994 0.500
0.579 0.249 0.330
0.920 0.249 0.670
0.697 0.697 0.000
0.001 0.501 0.500
0.267 0.263 0.534
0.267 0.733 0.005
0.729 0.263 0.995
0.729 0.733 0.466
```

Q: Among the records above, which one has the highest density of states at the Fermi level?
A: TbPr12Ho6